1.
PBE HfCuRhC2, optimized geometry; space group = P4/mmm (123); uncorrected energy = -6.22 eV/atom; N(E_F) = 3.1 states/eV per cell; density = 8.50 Mg/m³
1.0
-1.454 -1.200 3.241
4.564 -1.905 1.342
0.891 3.267 1.610
Rh C Hf Cu
1 2 1 1
direct
0.500 0.500 0.500
0.000 0.000 0.500
0.500 0.000 0.000
0.000 0.500 0.000
0.000 0.000 0.000



2.
PBE BaAlAs2, optimized geometry; space group = Cm (8); uncorrected energy = -4.15 eV/atom; N(E_F) = 2.5 states/eV per cell; density = 4.83 Mg/m³
1.0
5.257 -0.006 0.007
3.751 3.683 0.007
1.377 0.562 5.569
As Ba Al
2 1 1
direct
0.977 0.977 0.015
0.738 0.738 0.859
0.509 0.509 0.498
0.275 0.275 0.127



3.
PBE LaHo8Er4, optimized geometry; space group = R-3m (166); uncorrected energy = -4.41 eV/atom; N(E_F) = 16.4 states/eV per cell; density = 8.63 Mg/m³
1.0
1.976 6.318 -7.363
-4.584 7.530 -4.508
1.366 9.755 -1.001
La Ho Er
1 8 4
direct
0.500 0.500 0.500
0.781 0.781 0.781
0.219 0.219 0.219
0.250 0.250 0.804
0.196 0.750 0.750
0.750 0.750 0.196
0.750 0.196 0.750
0.250 0.804 0.250
0.804 0.250 0.250
0.000 0.000 0.000
0.500 0.500 0.000
0.500 0.000 0.500
0.000 0.500 0.500



Question: The highest N(E_F) belongs to which entry?
Answer: LaHo8Er4